(1)
# AgAsIO2

An optimized crystal structure of AgAsIO2 (PBE-GGA, the Alexandria database).

Values from the calculation:
Space-group type: No. 11
V (Å³ per cell): 224.5
Raw total energy (eV per cell): -43.793
Polymorph energy (0 for the lowest one) (meV per atom): 0
Formation energy (no corrections) (eV per atom): -0.59

abc: 3.9495 8.3724 7.5493
angles: 115.93 90.00 90.00
Sites, in units of the cell vectors:
O1 0.2500 0.4650 0.1693
O2 0.2500 0.4495 0.5484
O3 0.7500 0.5350 0.8307
O4 0.7500 0.5505 0.4516
As1 0.2500 0.6045 0.4281
As2 0.7500 0.3955 0.5719
Ag1 0.7500 0.3200 0.0186
Ag2 0.2500 0.6800 0.9814
I1 0.7500 0.9134 0.2068
I2 0.2500 0.0866 0.7932

(2)
# PaAlGe2

An optimized crystal structure of PaAlGe2 (PBE-GGA, the Alexandria database).

Values from the calculation:
Space-group type: No. 123
Formation energy (meV/atom): -199.1
V (Å³ per cell): 78.3
Raw total energy (eV per cell): -23.269
Polymorph energy (0 for the lowest one) (meV per atom): 240

abc: 3.5603 3.5603 6.1755
angles: 90.00 90.00 90.00
Sites, in units of the cell vectors:
Ge1 0.0000 0.0000 0.2134
Ge2 0.0000 0.0000 0.7866
Pa1 0.5000 0.5000 0.5000
Al1 0.5000 0.5000 0.0000

(3)
# Y2ErTmSe5

An optimized crystal structure of Y2ErTmSe5 (PBE-GGA, the Alexandria database).

Values from the calculation:
Space-group type: No. 123
V (Å³ per cell): 276.0
Raw total energy (eV per cell): -49.735
Formation energy (no corrections) (eV per atom): -1.15

abc: 5.0979 5.0979 10.6188
angles: 90.00 90.00 90.00
Sites, in units of the cell vectors:
Se1 0.0000 0.0000 0.2463
Se2 0.0000 0.5000 0.5000
Se3 0.0000 0.0000 0.7537
Se4 0.5000 0.0000 0.5000
Se5 0.5000 0.5000 0.0000
Tm1 0.0000 0.0000 0.5000
Er1 0.0000 0.0000 0.0000
Y1 0.5000 0.5000 0.3355
Y2 0.5000 0.5000 0.6645

(4)
# Pm2CdIr

An optimized crystal structure of Pm2CdIr (PBE-GGA, the Alexandria database).

Values from the calculation:
Space-group type: No. 63
Formation energy (meV/atom): -522.7
V (Å³ per cell): 218.4
Raw total energy (eV per cell): -42.737
Polymorph energy (0 for the lowest one) (meV per atom): 0

abc: 4.0105 7.4037 7.6245
angles: 90.00 105.25 90.00
Sites, in units of the cell vectors:
Cd1 0.0047 0.7500 0.0093
Cd2 0.9953 0.2500 0.9907
Pm1 0.6416 0.5026 0.2831
Pm2 0.3584 0.0026 0.7169
Pm3 0.3584 0.4974 0.7169
Pm4 0.6416 0.9974 0.2831
Ir1 0.7970 0.2500 0.5939
Ir2 0.2030 0.7500 0.4061

(5)
# Sm2SbPt9

An optimized crystal structure of Sm2SbPt9 (PBE-GGA, the Alexandria database).

Values from the calculation:
Space-group type: No. 123
V (Å³ per cell): 213.1
Raw total energy (eV per cell): -76.138
Formation energy (no corrections) (eV per atom): -0.68

abc: 4.1517 4.1517 12.3658
angles: 90.00 90.00 90.00
Sites, in units of the cell vectors:
Pt1 0.5000 0.5000 0.3271
Pt2 0.0000 0.5000 0.5000
Pt3 0.5000 0.0000 0.1587
Pt4 0.0000 0.5000 0.8413
Pt5 0.5000 0.5000 0.0000
Pt6 0.5000 0.5000 0.6729
Pt7 0.5000 0.0000 0.5000
Pt8 0.0000 0.5000 0.1587
Pt9 0.5000 0.0000 0.8413
Sm1 0.0000 0.0000 0.6664
Sm2 0.0000 0.0000 0.3336
Sb1 0.0000 0.0000 0.0000

(6)
# Zn4InPd

An optimized crystal structure of Zn4InPd (PBE-GGA, the Alexandria database).

Values from the calculation:
Space-group type: No. 216
Formation energy (meV/atom): -93.9
V (Å³ per cell): 95.4
Raw total energy (eV per cell): -13.590

abc: 5.1283 5.1283 5.1283
angles: 60.00 60.00 60.00
Sites, in units of the cell vectors:
Zn1 0.6258 0.1226 0.6258
Zn2 0.6258 0.6258 0.6258
Zn3 0.6258 0.6258 0.1226
Zn4 0.1226 0.6258 0.6258
Pd1 0.0000 0.0000 0.0000
In1 0.2500 0.2500 0.2500

(7)
# TaTeRh2Pb

An optimized crystal structure of TaTeRh2Pb (PBE-GGA, the Alexandria database).

Values from the calculation:
Space-group type: No. 123
V (Å³ per cell): 132.2
Raw total energy (eV per cell): -24.146
Formation energy (no corrections) (eV per atom): 1.85

abc: 4.8810 5.5498 4.8810
angles: 90.00 90.00 90.00
Sites, in units of the cell vectors:
Pb1 0.0000 0.0000 0.0000
Rh1 0.5000 0.0000 0.0000
Rh2 0.0000 0.0000 0.5000
Ta1 0.5000 0.5000 0.5000
Te1 0.0000 0.5000 0.0000

(8)
# CrS2

An optimized crystal structure of CrS2 (PBE-GGA, the Alexandria database).

Values from the calculation:
Space-group type: No. 12
V (Å³ per cell): 52.6
Raw total energy (eV per cell): -19.374
Formation energy (no corrections) (eV per atom): -0.50

abc: 3.0564 3.0567 6.7134
angles: 77.42 89.95 60.05
Sites, in units of the cell vectors:
Cr1 0.5000 0.5000 0.5000
S1 0.7614 0.9783 0.2725
S2 0.2386 0.0217 0.7275

(9)
# La8CuRh2C

An optimized crystal structure of La8CuRh2C (PBE-GGA, the Alexandria database).

Values from the calculation:
Space-group type: No. 10
Formation energy (meV/atom): -259.2
V (Å³ per cell): 373.9
Raw total energy (eV per cell): -70.553

abc: 6.7506 6.6576 8.3192
angles: 89.96 90.00 89.87
Sites, in units of the cell vectors:
La1 0.3489 0.2660 0.5000
La2 0.8456 0.2352 0.2188
La3 0.6511 0.7340 0.5000
La4 0.6816 0.7644 0.9997
La5 0.1543 0.7648 0.7812
La6 0.1541 0.7647 0.2190
La7 0.3184 0.2356 0.0003
La8 0.8459 0.2353 0.7810
Cu1 0.0000 0.0000 0.5000
Rh1 0.5000 0.4998 0.7560
Rh2 0.5000 0.5002 0.2440
C1 0.0000 0.0000 0.0000

(10)
# CeNpBi2

An optimized crystal structure of CeNpBi2 (PBE-GGA, the Alexandria database).

Values from the calculation:
Space-group type: No. 225
Formation energy (meV/atom): -232.5
V (Å³ per cell): 118.2
Raw total energy (eV per cell): -27.567
Polymorph energy (0 for the lowest one) (meV per atom): 27

abc: 5.5093 5.5093 5.5093
angles: 60.00 60.00 60.00
Sites, in units of the cell vectors:
Np1 0.0000 0.0000 0.0000
Ce1 0.5000 0.5000 0.5000
Bi1 0.2500 0.2500 0.2500
Bi2 0.7500 0.7500 0.7500

(11)
# ZrB2W2

An optimized crystal structure of ZrB2W2 (PBE-GGA, the Alexandria database).

Values from the calculation:
Space-group type: No. 127
Formation energy (meV/atom): -285.9
V (Å³ per cell): 126.5
Raw total energy (eV per cell): -98.478

abc: 6.2513 6.2513 3.2362
angles: 90.00 90.00 90.00
Sites, in units of the cell vectors:
Zr1 0.5000 0.5000 0.0000
Zr2 0.0000 0.0000 0.0000
W1 0.1687 0.6687 0.5000
W2 0.3313 0.1687 0.5000
W3 0.8313 0.3313 0.5000
W4 0.6687 0.8313 0.5000
B1 0.8921 0.6079 0.0000
B2 0.3921 0.8921 0.0000
B3 0.6079 0.1079 0.0000
B4 0.1079 0.3921 0.0000

(12)
# Sr3LaCu2HgBiO10

An optimized crystal structure of Sr3LaCu2HgBiO10 (PBE-GGA, the Alexandria database).

Values from the calculation:
Space-group type: No. 44
V (Å³ per cell): 255.6
Raw total energy (eV per cell): -103.404
Formation energy (no corrections) (eV per atom): -1.75

abc: 9.8106 9.8106 9.8106
angles: 148.62 148.57 45.01
Sites, in units of the cell vectors:
O1 0.6219 0.6219 0.0000
O2 0.8804 0.8804 0.0000
O3 0.4996 0.9996 0.5000
O4 0.0000 0.9921 0.4999
O5 0.0000 0.5001 0.0079
O6 0.4923 0.5001 0.5001
O7 0.3766 0.3766 0.0000
O8 0.0058 0.5058 0.5000
O9 0.1187 0.1187 0.0000
O10 0.4923 0.9921 0.9921
Bi1 0.4996 0.4996 0.0000
Sr1 0.6460 0.1460 0.5000
Sr2 0.3554 0.8554 0.5000
Sr3 0.8533 0.3533 0.5000
La1 0.1505 0.6505 0.5000
Cu1 0.2547 0.2547 0.0000
Cu2 0.7537 0.7537 0.0000
Hg1 0.9993 0.9993 0.0000

(13)
# Zn2RuSe

An optimized crystal structure of Zn2RuSe (PBE-GGA, the Alexandria database).

Values from the calculation:
Space-group type: No. 166
V (Å³ per cell): 65.5
Raw total energy (eV per cell): -14.450
Formation energy (no corrections) (eV per atom): 0.21

abc: 8.3019 8.3019 8.3019
angles: 21.19 21.19 21.19
Sites, in units of the cell vectors:
Ru1 0.2500 0.2500 0.2500
Zn1 0.9953 0.9953 0.9953
Zn2 0.5047 0.5047 0.5047
Se1 0.7500 0.7500 0.7500